w:
VASP calculation (PBE) on TlSbW2 after structural relaxation.

Structure (POSCAR):
```
TlSbW2
1.0
4.738 0.009 0.000
-0.007 4.738 0.000
0.000 0.000 3.341
Sb Tl W
1 1 2
direct
0.500 0.000 0.500
0.000 0.500 0.500
0.000 0.000 0.000
0.500 0.500 0.000
```

Space-group type ... P4/mmm
Volume ... 75.0 Å³ per cell

x:
VASP calculation (PBE) on TlSbW2 after structural relaxation.

Structure (POSCAR):
```
TlSbW2
1.0
4.663 0.000 0.000
0.000 3.413 -0.240
0.000 0.262 5.424
Sb Tl W
1 1 2
direct
0.500 0.250 0.250
0.500 0.750 0.750
0.000 0.944 0.064
0.000 0.556 0.436
```

Space-group type ... P2/m
Volume ... 86.6 Å³ per cell

What should be chosen as the most stable of them? Choose x.

w:
VASP calculation (PBE) on TlSbW2 after structural relaxation.

Structure (POSCAR):
```
TlSbW2
1.0
-3.081 0.166 1.028
0.978 -0.650 3.033
0.937 8.283 1.472
Sb Tl W
1 1 2
direct
0.000 0.000 0.429
0.500 0.500 0.807
0.000 0.000 0.053
0.500 0.500 0.211
```

Space-group type ... P4mm
Volume ... 89.5 Å³ per cell

x:
VASP calculation (PBE) on TlSbW2 after structural relaxation.

Structure (POSCAR):
```
TlSbW2
1.0
3.364 0.000 0.000
0.000 5.000 0.000
0.000 0.000 4.635
Sb Tl W
1 1 2
direct
0.500 0.000 0.500
0.000 0.500 0.500
0.000 0.000 0.000
0.500 0.500 0.000
```

Space-group type ... Pmmm
Volume ... 77.9 Å³ per cell

y:
VASP calculation (PBE) on TlSbW2 after structural relaxation.

Structure (POSCAR):
```
TlSbW2
1.0
-1.078 -2.733 0.787
0.772 0.216 -2.934
8.577 -2.794 2.050
Sb Tl W
1 1 2
direct
0.500 0.500 0.250
0.500 0.500 0.750
0.000 0.000 0.013
0.000 0.000 0.487
```

Space-group type ... Cmmm
Volume ... 78.3 Å³ per cell

z:
VASP calculation (PBE) on TlSbW2 after structural relaxation.

Structure (POSCAR):
```
TlSbW2
1.0
5.082 -0.026 -0.161
3.984 3.156 -0.161
0.763 0.263 5.350
Sb Tl W
1 1 2
direct
0.250 0.250 0.250
0.750 0.750 0.750
0.990 0.990 0.079
0.510 0.510 0.421
```

Space-group type ... C2/m
Volume ... 86.8 Å³ per cell

What should be chosen as the most stable of them? Choose w.

w:
VASP calculation (PBE) on TlSbW after structural relaxation.

Structure (POSCAR):
```
TlSbW
1.0
4.713 0.000 0.000
2.357 4.082 0.000
2.357 1.361 3.848
Sb Tl W
1 1 1
direct
0.000 0.000 0.000
0.500 0.500 0.500
0.750 0.750 0.750
```

Space-group type ... F-43m
Volume ... 74.0 Å³ per cell

x:
VASP calculation (PBE) on TlSbW after structural relaxation.

Structure (POSCAR):
```
TlSbW
1.0
5.601 -0.007 -0.004
3.329 4.505 0.004
-4.464 -2.252 2.526
Sb Tl W
1 1 1
direct
0.023 0.023 0.000
0.329 0.329 0.000
0.649 0.649 0.000
```

Space-group type ... I4mm
Volume ... 63.8 Å³ per cell

What should be chosen as the most stable of them? Choose x.

w:
VASP calculation (PBE) on TlSbW after structural relaxation.

Structure (POSCAR):
```
TlSbW
1.0
7.712 -0.005 0.000
6.461 4.211 0.000
-7.086 -2.103 2.199
Sb Tl W
1 1 1
direct
0.032 0.032 0.000
0.309 0.309 0.000
0.658 0.658 0.000
```

Space-group type ... I4mm
Volume ... 71.5 Å³ per cell

x:
VASP calculation (PBE) on TlSbW after structural relaxation.

Structure (POSCAR):
```
TlSbW
1.0
-4.410 -2.085 -1.141
4.132 -2.826 0.188
-0.498 -0.535 2.904
Sb Tl W
1 1 1
direct
0.000 0.000 0.833
0.667 0.333 0.334
0.333 0.667 0.833
```

Space-group type ... P-6m2
Volume ... 65.1 Å³ per cell

y:
VASP calculation (PBE) on TlSbW after structural relaxation.

Structure (POSCAR):
```
TlSbW
1.0
-1.511 -2.525 1.563
2.811 1.285 1.243
-3.789 4.618 3.797
Sb Tl W
1 1 1
direct
0.000 0.000 0.956
0.333 0.667 0.360
0.667 0.333 0.684
```

Space-group type ... P3m1
Volume ... 68.0 Å³ per cell

What should be chosen as the most stable of them? Choose y.

w:
VASP calculation (PBE) on YTl2Sb after structural relaxation.

Structure (POSCAR):
```
YTl2Sb
1.0
0.000 3.864 3.864
3.864 0.000 3.864
3.864 3.864 0.000
Y Sb Tl
1 1 2
direct
0.000 0.000 0.000
0.500 0.500 0.500
0.250 0.250 0.250
0.750 0.750 0.750
```

Space-group type ... Fm-3m
Volume ... 115.4 Å³ per cell

x:
VASP calculation (PBE) on YTl2Sb after structural relaxation.

Structure (POSCAR):
```
YTl2Sb
1.0
-0.536 -8.367 -2.249
1.222 -2.304 8.280
-2.785 -5.264 3.497
Y Sb Tl
2 2 4
direct
0.500 0.500 0.000
0.250 0.750 0.500
0.000 0.000 0.000
0.750 0.250 0.500
0.636 0.125 0.250
0.114 0.625 0.250
0.375 0.364 0.750
0.875 0.886 0.750
```

Space-group type ... I-42d
Volume ... 238.5 Å³ per cell

What should be chosen as the most stable of them? Choose x.

w:
VASP calculation (PBE) on YTl2Sb after structural relaxation.

Structure (POSCAR):
```
YTl2Sb
1.0
3.456 0.028 0.000
-1.199 3.241 0.000
0.000 0.000 10.219
Sb Tl Y
1 2 1
direct
0.500 0.500 0.750
0.000 0.000 0.999
0.000 0.000 0.501
0.500 0.500 0.250
```

Space-group type ... Cmmm
Volume ... 114.8 Å³ per cell

x:
VASP calculation (PBE) on YTl2Sb after structural relaxation.

Structure (POSCAR):
```
YTl2Sb
1.0
-4.520 -2.312 1.182
-0.316 -1.594 -4.326
2.280 -3.823 1.242
Sb Tl Y
1 2 1
direct
0.500 0.000 0.500
0.000 0.000 0.000
0.000 0.500 0.500
0.500 0.500 0.000
```

Space-group type ... P4/mmm
Volume ... 111.3 Å³ per cell

y:
VASP calculation (PBE) on YTl2Sb after structural relaxation.

Structure (POSCAR):
```
YTl2Sb
1.0
-4.234 -4.114 0.875
-0.068 -5.309 2.726
-1.873 0.153 4.314
Sb Tl Y
1 2 1
direct
0.750 0.750 0.750
0.000 0.000 0.000
0.250 0.250 0.250
0.500 0.500 0.500
```

Space-group type ... I-4m2
Volume ... 109.8 Å³ per cell

z:
VASP calculation (PBE) on YTl2Sb after structural relaxation.

Structure (POSCAR):
```
YTl2Sb
1.0
4.196 0.000 0.000
0.000 4.124 -0.009
0.000 4.136 6.760
Sb Tl Y
1 2 1
direct
0.500 0.793 0.706
0.000 0.990 0.011
0.500 0.255 0.246
0.000 0.462 0.537
```

Space-group type ... Pm
Volume ... 117.1 Å³ per cell

What should be chosen as the most stable of them? Choose z.

w:
VASP calculation (PBE) on YTlSb after structural relaxation.

Structure (POSCAR):
```
YTlSb
1.0
5.259 0.000 0.000
2.630 4.555 0.000
2.630 1.518 4.294
Sb Tl Y
1 1 1
direct
0.750 0.750 0.750
0.000 0.000 0.000
0.500 0.500 0.500
```

Space-group type ... F-43m
Volume ... 102.9 Å³ per cell

x:
VASP calculation (PBE) on YTlSb after structural relaxation.

Structure (POSCAR):
```
YTlSb
1.0
-1.322 -2.955 -2.664
3.787 -2.247 3.912
-13.041 6.940 -1.225
Sb Tl Y
2 2 2
direct
0.908 0.815 0.836
0.092 0.185 0.164
0.781 0.563 0.426
0.219 0.437 0.574
0.794 0.588 0.147
0.206 0.412 0.853
```

Space-group type ... C2/m
Volume ... 177.4 Å³ per cell

y:
VASP calculation (PBE) on YTlSb after structural relaxation.

Structure (POSCAR):
```
YTlSb
1.0
5.161 0.000 0.000
-2.580 4.469 0.000
0.000 0.000 3.717
Sb Tl Y
1 1 1
direct
0.000 0.000 0.051
0.667 0.333 0.288
0.333 0.667 0.661
```

Space-group type ... P3m1
Volume ... 85.7 Å³ per cell

z:
VASP calculation (PBE) on YTlSb after structural relaxation.

Structure (POSCAR):
```
YTlSb
1.0
5.800 -0.042 0.048
4.343 3.846 0.045
1.458 0.550 3.848
Sb Tl Y
1 1 1
direct
0.020 0.020 0.980
0.330 0.330 0.670
0.650 0.650 0.350
```

Space-group type ... I4mm
Volume ... 86.2 Å³ per cell

What should be chosen as the most stable of them? Choose x.

w:
VASP calculation (PBE) on YTlSb after structural relaxation.

Structure (POSCAR):
```
YTlSb
1.0
3.544 0.000 0.000
-1.772 3.069 0.000
0.000 0.000 7.949
Sb Tl Y
1 1 1
direct
0.000 0.000 0.988
0.667 0.333 0.338
0.333 0.667 0.673
```

Space-group type ... P3m1
Volume ... 86.5 Å³ per cell

x:
VASP calculation (PBE) on YTlSb after structural relaxation.

Structure (POSCAR):
```
YTlSb
1.0
-1.344 -1.952 4.590
-2.390 -4.573 0.263
2.493 -4.113 1.888
Sb Tl Y
1 1 1
direct
0.000 0.000 0.000
0.500 0.500 0.500
0.750 0.750 0.750
```

Space-group type ... F-43m
Volume ... 97.5 Å³ per cell

What should be chosen as the most stable of them? Choose x.

w:
VASP calculation (PBE) on YTl2Sb2 after structural relaxation.

Structure (POSCAR):
```
YTl2Sb2
1.0
-3.888 0.736 6.821
-6.779 -1.619 -3.690
0.682 -4.961 0.924
Y Sb Tl
2 4 4
direct
0.000 0.000 0.000
0.500 0.500 0.000
0.370 0.870 0.000
0.870 0.630 0.000
0.630 0.130 0.000
0.130 0.370 0.000
0.185 0.685 0.500
0.685 0.815 0.500
0.815 0.315 0.500
0.315 0.185 0.500
```

Space-group type ... P4/mbm
Volume ... 316.7 Å³ per cell

x:
VASP calculation (PBE) on YTl2Sb2 after structural relaxation.

Structure (POSCAR):
```
YTl2Sb2
1.0
-3.400 3.411 6.903
-7.697 -1.314 -3.142
-0.095 -3.675 1.769
Y Sb Tl
2 4 4
direct
0.000 0.000 0.000
0.500 0.500 0.000
0.170 0.670 0.500
0.670 0.830 0.500
0.830 0.330 0.500
0.330 0.170 0.500
0.368 0.868 0.000
0.868 0.632 0.000
0.632 0.132 0.000
0.132 0.368 0.000
```

Space-group type ... P4/mbm
Volume ... 289.0 Å³ per cell

y:
VASP calculation (PBE) on YTl2Sb2 after structural relaxation.

Structure (POSCAR):
```
YTl2Sb2
1.0
4.367 0.000 0.000
0.000 4.367 0.000
2.183 2.183 8.128
Y Sb Tl
1 2 2
direct
0.000 0.000 0.000
0.750 0.250 0.500
0.250 0.750 0.500
0.405 0.405 0.190
0.595 0.595 0.810
```

Space-group type ... I4/mmm
Volume ... 155.0 Å³ per cell

What should be chosen as the most stable of them? Choose w.

w:
VASP calculation (PBE) on Y3TlSb after structural relaxation.

Structure (POSCAR):
```
Y3TlSb
1.0
-0.582 -3.019 4.745
5.582 0.270 0.857
-0.684 4.773 2.953
Y Sb Tl
3 1 1
direct
0.000 0.500 0.000
0.000 0.000 0.500
0.500 0.000 0.000
0.000 0.000 0.000
0.500 0.500 0.500
```

Space-group type ... Pm-3m
Volume ... 180.8 Å³ per cell

x:
VASP calculation (PBE) on Y3TlSb after structural relaxation.

Structure (POSCAR):
```
Y3TlSb
1.0
4.154 -0.001 -0.001
0.003 8.774 -0.516
0.003 2.566 8.042
Y Tl Sb
6 2 2
direct
0.863 0.492 0.654
0.863 0.012 0.752
0.863 0.594 0.083
0.363 0.928 0.086
0.863 0.876 0.414
0.363 0.236 0.417
0.363 0.736 0.774
0.863 0.211 0.130
0.363 0.611 0.358
0.363 0.247 0.797
```

Space-group type ... Pm
Volume ... 298.6 Å³ per cell

What should be chosen as the most stable of them? Choose x.